No. 1
A relaxed SrSc2GaO crystal, computed with PBE-GGA.

Unit cell a=4.490 b=4.490 c=4.927 alpha=90.00 beta=90.00 gamma=90.00
Space group P4/mmm (No. 123)
Symmetry-distinct sites (fractional):
Sr  0.000  0.000  0.000 (multiplicity 1)
Sc  0.000  0.500  0.500 (multiplicity 2)
Ga  0.500  0.500  0.000 (multiplicity 1)
O  0.000  0.000  0.500 (multiplicity 1)

***

No. 2
A relaxed ScTaGa2O8 crystal, computed with PBE-GGA.

Unit cell a=6.638 b=6.638 c=6.537 alpha=90.00 beta=90.00 gamma=90.00
Space group I-4m2 (No. 119)
Symmetry-distinct sites (fractional):
Sc  0.000  0.000  0.000 (multiplicity 2)
Ta  0.000  0.500  0.250 (multiplicity 2)
Ga  0.000  0.000  0.500 (multiplicity 2)
Ga  0.000  0.500  0.750 (multiplicity 2)
O  0.000  0.205  0.314 (multiplicity 8)
O  0.000  0.313  0.959 (multiplicity 8)

***

No. 3
A relaxed ScGaTcO6 crystal, computed with PBE-GGA.

Unit cell a=4.686 b=4.686 c=9.269 alpha=90.00 beta=90.00 gamma=90.00
Space group P4_2nm (No. 102)
Symmetry-distinct sites (fractional):
Sc  0.000  0.000  0.000 (multiplicity 2)
Ga  0.000  0.000  0.337 (multiplicity 2)
Tc  0.000  0.000  0.670 (multiplicity 2)
O  0.187  0.187  0.509 (multiplicity 4)
O  0.201  0.201  0.826 (multiplicity 4)
O  0.212  0.212  0.177 (multiplicity 4)

***

No. 4
A relaxed ScTiGa2O crystal, computed with PBE-GGA.

* energy above the most stable polymorph in this dataset: 116 meV per atom

Unit cell a=5.199 b=5.199 c=3.645 alpha=90.00 beta=90.00 gamma=90.00
Space group P4/mmm (No. 123)
Symmetry-distinct sites (fractional):
Sc  0.000  0.000  0.000 (multiplicity 1)
Ti  0.500  0.500  0.500 (multiplicity 1)
Ga  0.000  0.500  0.500 (multiplicity 2)
O  0.500  0.500  0.000 (multiplicity 1)

***

No. 5
A relaxed Sc2TiGaO crystal, computed with PBE-GGA.

Unit cell a=4.397 b=4.397 c=4.071 alpha=90.00 beta=90.00 gamma=90.00
Space group P4/mmm (No. 123)
Symmetry-distinct sites (fractional):
Sc  0.000  0.500  0.000 (multiplicity 2)
Ti  0.000  0.000  0.500 (multiplicity 1)
Ga  0.500  0.500  0.500 (multiplicity 1)
O  0.000  0.000  0.000 (multiplicity 1)

***

No. 6
A relaxed ScTiGa2O crystal, computed with PBE-GGA.

* energy above the most stable polymorph in this dataset: 0 meV per atom

Unit cell a=4.514 b=4.514 c=4.051 alpha=90.00 beta=90.00 gamma=90.00
Space group P4/mmm (No. 123)
Symmetry-distinct sites (fractional):
Sc  0.000  0.000  0.000 (multiplicity 1)
Ti  0.500  0.500  0.000 (multiplicity 1)
Ga  0.000  0.500  0.500 (multiplicity 2)
O  0.000  0.000  0.500 (multiplicity 1)

***

Number 1: D(E_F) 2.1 states/eV per cell, E_tot -5.715 eV per atom, formation energy from raw total energies -1.249 eV/atom. Number 2: D(E_F) 16.5 states/eV per cell, E_tot -7.381 eV per atom, formation energy from raw total energies -2.055 eV/atom. Number 3: D(E_F) 1.5 states/eV per cell, E_tot -7.489 eV per atom, formation energy from raw total energies -1.992 eV/atom. Number 4: D(E_F) 4.0 states/eV per cell, E_tot -5.692 eV per atom, formation energy from raw total energies -0.644 eV/atom. Number 5: D(E_F) 4.1 states/eV per cell, E_tot -7.114 eV per atom, formation energy from raw total energies -1.406 eV/atom. Number 6: D(E_F) 2.5 states/eV per cell, E_tot -5.808 eV per atom, formation energy from raw total energies -0.760 eV/atom.